Record 1
# Pt2C PBE relaxed
# Symmetry ... P-3m1
# Crystal system ... trigonal
# Final energy ... -6.414 eV/atom
# Total moment ... 0.00 μB per atom
# Formation energy from the elements ... 687 meV per atom
# Offset from the most stable computed form ... 130.4 meV/atom
data_Pt2C
_space_group_name_H-M_alt 'P 1'
_space_group_IT_number 1
_space_group_name_Hall 'P 1'
_cell_length_a 3.339
_cell_length_b 3.339
_cell_length_c 4.059
_cell_angle_alpha 90.00
_cell_angle_beta 90.00
_cell_angle_gamma 120.00
loop_
_atom_site_label
_atom_site_type_symbol
_atom_site_fract_x
_atom_site_fract_y
_atom_site_fract_z
C1 C 0.000 0.000 0.000
Pt1 Pt 0.667 0.333 0.744
Pt2 Pt 0.333 0.667 0.256



Record 2
# Bi2SeBr PBE relaxed
# Symmetry ... Fm-3m
# Crystal system ... cubic
# Final energy ... -3.204 eV/atom
# Formation energy (no corrections) ... 0.026 eV/atom
# Total moment ... 0.00 μB per atom
# Offset from the most stable computed form ... 140.3 meV/atom
data_Bi2SeBr
_space_group_name_H-M_alt 'P 1'
_space_group_IT_number 1
_space_group_name_Hall 'P 1'
_cell_length_a 5.350
_cell_length_b 5.350
_cell_length_c 5.350
_cell_angle_alpha 60.00
_cell_angle_beta 60.00
_cell_angle_gamma 60.00
loop_
_atom_site_label
_atom_site_type_symbol
_atom_site_fract_x
_atom_site_fract_y
_atom_site_fract_z
Se1 Se 0.000 0.000 0.000
Bi1 Bi 0.250 0.250 0.250
Bi2 Bi 0.750 0.750 0.750
Br1 Br 0.500 0.500 0.500



Record 3
# YCrIn PBE relaxed
# Symmetry ... P-6m2
# Crystal system ... hexagonal
# Final energy ... -6.264 eV/atom
# Total moment ... 1.37 μB per atom
# Formation energy from the elements ... 11 meV per atom
data_YCrIn
_space_group_name_H-M_alt 'P 1'
_space_group_IT_number 1
_space_group_name_Hall 'P 1'
_cell_length_a 4.865
_cell_length_b 4.865
_cell_length_c 3.488
_cell_angle_alpha 90.00
_cell_angle_beta 90.00
_cell_angle_gamma 120.00
loop_
_atom_site_label
_atom_site_type_symbol
_atom_site_fract_x
_atom_site_fract_y
_atom_site_fract_z
Cr1 Cr 0.000 0.000 0.167
In1 In 0.667 0.333 0.166
Y1 Y 0.333 0.667 0.667



Question: total moment of number 3 (YCrIn)?
Answer: 1.37 μB per atom



Question: Among the records above, which one has the highest total moment?
Answer: YCrIn



Question: What is the final energy in the first record?
Answer: -6.414 eV/atom